# 1
## TcSbCl2 (PBE-GGA)

Data for a relaxed TcSbCl2 crystal.

space group	Pmm2
density of states at the Fermi level	1.06	states/eV/cell
E_form (uncorrected)	-0.094	eV per atom
magnetic moment	0.0	μB/f.u.
DFT total energy	-18.56	eV per cell
polymorph energy (0 for the lowest one)	2.99	kcal/mol of atoms

Lattice parameters (Å, degrees): 4.101 3.204 8.600 90.00 90.00 90.00
Fractional coordinates of all 4 atoms:
Sb: 0.000 0.000 0.663
Tc: 0.500 0.500 0.577
Cl: 0.000 0.000 0.941
Cl: 0.500 0.500 0.318



# 2
## SrCaPd3 (PBE-GGA)

Data for a relaxed SrCaPd3 crystal.

space group	Pm-3m
density of states at the Fermi level	2.84	states/eV/cell
magnetic moment	0.0	μB/f.u.
DFT total energy	-17.56	eV per cell
polymorph energy (0 for the lowest one)	7.49	kcal/mol of atoms

Lattice parameters (Å, degrees): 5.241 5.241 5.241 90.00 90.00 90.00
Fractional coordinates of all 5 atoms:
Sr: 0.000 0.000 0.000
Ca: 0.500 0.500 0.500
Pd: 0.000 0.500 0.000
Pd: 0.000 0.000 0.500
Pd: 0.500 0.000 0.000



# 3
## AcSmOs4 (PBE-GGA)

Data for a relaxed AcSmOs4 crystal.

space group	F-43m
density of states at the Fermi level	8.97	states/eV/cell
magnetic moment	0.0	μB/f.u.
DFT total energy	-53.43	eV per cell

Lattice parameters (Å, degrees): 5.498 5.498 5.498 60.00 60.00 60.00
Fractional coordinates of all 6 atoms:
Ac: 0.000 0.000 0.000
Os: 0.625 0.625 0.126
Os: 0.625 0.126 0.625
Os: 0.625 0.625 0.625
Os: 0.126 0.625 0.625
Sm: 0.250 0.250 0.250



# 4
## Nd12CdNi5 (PBE-GGA)

Data for a relaxed Nd12CdNi5 crystal.

space group	Immm
density of states at the Fermi level	16.31	states/eV/cell
magnetic moment	0.0	μB/f.u.
DFT total energy	-91.06	eV per cell

Lattice parameters (Å, degrees): 8.620 8.620 8.620 107.12 112.06 109.28
Fractional coordinates of all 18 atoms:
Nd: 0.522 0.821 0.702
Nd: 0.478 0.179 0.298
Nd: 0.881 0.179 0.702
Nd: 0.119 0.821 0.298
Nd: 0.694 0.677 0.371
Nd: 0.306 0.323 0.629
Nd: 0.306 0.677 0.983
Nd: 0.694 0.323 0.017
Nd: 0.810 0.603 0.792
Nd: 0.190 0.397 0.208
Nd: 0.190 0.982 0.792
Nd: 0.810 0.018 0.208
Cd: 0.000 0.500 0.500
Ni: 0.632 0.632 0.000
Ni: 0.368 0.368 0.000
Ni: 0.500 0.124 0.624
Ni: 0.500 0.876 0.376
Ni: 0.000 0.000 0.000



Look up the magnetic moment of the third one.
0.0 μB/f.u.



magnetic moment of number 2 (SrCaPd3)?
0.0 μB/f.u.